--- w ---
DFT (PBE) results for crystalline NaSmTl at its relaxed geometry.

Cell: 3.8250 3.8250 12.5812 Å, 90.00 90.00 90.00°
Space group I4mm (No. 107)
Unique sites:
Na (0.0000, 0.0000, 0.0000) x2
Sm (0.0000, 0.0000, 0.2951) x2
Tl (0.0000, 0.0000, 0.6469) x2

Output
* total magnetic moment: 0.459 μB per cell
* density: 6.8 g cm⁻³
* V: 184.07 Å³/cell

--- x ---
DFT (PBE) results for crystalline NaSmTl at its relaxed geometry.

Cell: 5.5788 5.5788 6.4815 Å, 90.00 90.00 120.00°
Space group P6_3/mmc (No. 194)
Unique sites:
Na (0.0000, 0.0000, 0.0000) x2
Sm (0.3333, 0.6667, 0.2500) x2
Tl (0.3333, 0.6667, 0.7500) x2

Output
* total magnetic moment: 0.000 μB per cell
* density: 7.2 g cm⁻³
* V: 174.68 Å³/cell

--- y ---
DFT (PBE) results for crystalline NaSmTl at its relaxed geometry.

Cell: 3.5952 3.5952 29.9606 Å, 90.00 90.00 90.00°
Space group I4/mmm (No. 139)
Unique sites:
Na (0.0000, 0.0000, 0.0602) x4
Sm (0.0000, 0.0000, 0.2066) x4
Tl (0.0000, 0.0000, 0.3689) x4

Output
* total magnetic moment: 0.000 μB per cell
* density: 6.5 g cm⁻³
* V: 387.26 Å³/cell

Quick one: most stable of them? x

--- w ---
DFT (PBE) results for crystalline NaSm2Tl3 at its relaxed geometry.

Cell: 5.4121 5.4121 13.3363 Å, 90.00 90.00 120.00°
Space group P-3m1 (No. 164)
Unique sites:
Na (0.3333, 0.6667, 0.1647) x2
Sm (0.0000, 0.0000, 0.0000) x1
Sm (0.0000, 0.0000, 0.5000) x1
Sm (0.3333, 0.6667, 0.6742) x2
Tl (0.0000, 0.0000, 0.2490) x2
Tl (0.3333, 0.6667, 0.4142) x2
Tl (0.3333, 0.6667, 0.9190) x2

Output
* total magnetic moment: 0.000 μB per cell
* density: 9.2 g cm⁻³
* V: 338.29 Å³/cell

--- x ---
DFT (PBE) results for crystalline NaSm2Tl3 at its relaxed geometry.

Cell: 3.7734 3.7734 11.9410 Å, 90.00 90.00 90.00°
Space group P4/mmm (No. 123)
Unique sites:
Na (0.0000, 0.0000, 0.0000) x1
Sm (0.0000, 0.0000, 0.3278) x2
Tl (0.5000, 0.5000, 0.1625) x2
Tl (0.5000, 0.5000, 0.5000) x1

Output
* total magnetic moment: 0.000 μB per cell
* density: 9.1 g cm⁻³
* V: 170.03 Å³/cell

Quick one: most stable of them? w

--- w ---
DFT (PBE) results for crystalline NaSmTl4 at its relaxed geometry.

Cell: 3.7766 5.2293 8.8458 Å, 90.00 92.48 90.00°
Space group Pm (No. 6)
Unique sites:
Na (0.0000, 0.0000, 0.0000) x1
Sm (0.1035, 0.5000, 0.4293) x1
Tl (0.2659, 0.0000, 0.6542) x1
Tl (0.4849, 0.5000, 0.1056) x1
Tl (0.6215, 0.0000, 0.3288) x1
Tl (0.7080, 0.5000, 0.7701) x1

Output
* total magnetic moment: 0.000 μB per cell
* density: 9.4 g cm⁻³
* V: 174.53 Å³/cell

--- x ---
DFT (PBE) results for crystalline NaSmTl4 at its relaxed geometry.

Cell: 8.9498 8.9498 8.9498 Å, 90.00 90.00 90.00°
Space group F-43m (No. 216)
Unique sites:
Na (0.0000, 0.0000, 0.0000) x4
Sm (0.2500, 0.2500, 0.7500) x4
Tl (0.1248, 0.1248, 0.3752) x16

Output
* total magnetic moment: 0.000 μB per cell
* density: 9.2 g cm⁻³
* V: 716.86 Å³/cell

Quick one: most stable of them? w